(1)
ZrMnMo2 | meta-GGA SCAN | single point on PBEsol structure

The structure in extended XYZ format:
```
4
Lattice="2.7964 0.0000 0.0085 0.0000 4.3736 0.0000 -0.9507 0.0000 5.0055" Properties=species:S:1:pos:R:3 pbc="T T T"
Mo 0.4316 0.0000 1.3022
Mo 1.4141 0.0000 3.7119
Mn -0.4753 2.1868 2.5028
Zr 1.3982 2.1868 0.0042
```

Output
Formation energy from the elements ... 180 meV per atom
SG ... P2/m (10)
E ... -29.502 eV per atom

=====

(2)
ZrMn2Mo | meta-GGA SCAN | single point on PBEsol structure

The structure in extended XYZ format:
```
4
Lattice="-1.4917 2.2809 -1.1170 -0.3051 0.2738 -2.9167 -7.1596 -3.2936 -1.0476" Properties=species:S:1:pos:R:3 pbc="T T T"
Mn -2.3706 -0.2678 -1.2644
Mn -6.5858 -0.4710 -3.8169
Zr 0.0000 0.0000 0.0000
Mo -4.4782 -0.3694 -2.5407
```

Output
Formation energy from the elements ... 476 meV per atom
SG ... R-3m (166)
E ... -25.047 eV per atom

=====

(3)
ZrMnMo2 | meta-GGA SCAN | single point on PBEsol structure

The structure in extended XYZ format:
```
4
Lattice="3.6905 0.0000 0.0000 0.0000 3.6905 0.0000 -1.8452 -1.8452 4.6421" Properties=species:S:1:pos:R:3 pbc="T T T"
Zr 1.8452 1.8452 0.0000
Mn 0.0000 0.0000 0.0000
Mo 0.0000 1.8452 2.3210
Mo 1.8452 0.0000 2.3210
```

Output
Formation energy from the elements ... 204 meV per atom
SG ... I4/mmm (139)
E ... -29.477 eV per atom

=====

(4)
ZrMn2Mo | meta-GGA SCAN | single point on PBEsol structure

The structure in extended XYZ format:
```
4
Lattice="-1.0477 -1.5602 -2.3744 -1.8251 -2.8331 2.6670 -3.5956 2.3538 0.0399" Properties=species:S:1:pos:R:3 pbc="T T T"
Mn -1.7978 1.1769 0.0200
Mn -0.9125 -1.4166 1.3335
Zr -0.5239 -0.7801 -1.1872
Mo -3.2342 -1.0198 0.1663
```

Output
Formation energy from the elements ... 24 meV per atom
SG ... P4/mmm (123)
E ... -25.500 eV per atom

=====

(5)
Mn3N2 | meta-GGA SCAN | single point on PBEsol structure

The structure in extended XYZ format:
```
5
Lattice="-0.4249 -2.7385 -0.3859 2.1233 -0.0729 -1.8208 2.9045 0.1996 5.5290" Properties=species:S:1:pos:R:3 pbc="T T T"
Mn 0.0000 0.0000 0.0000
Mn 2.1916 -1.8370 0.4794
Mn 2.4112 -0.7748 2.8429
N 3.4259 -2.2336 1.9347
N 1.1769 -0.3782 1.3876
```

Output
Formation energy without anion corrections ... -0.46 eV/atom
SG ... I4/mmm (139)
E ... -15.129 eV per atom

=====

(6)
Mn3N2 | meta-GGA SCAN | single point on PBEsol structure

The structure in extended XYZ format:
```
5
Lattice="2.7768 0.0000 0.0000 -1.3884 2.4048 0.0000 0.0000 0.0000 6.6929" Properties=species:S:1:pos:R:3 pbc="T T T"
Mn 0.0000 0.0000 0.0000
Mn 0.0000 1.6032 4.4195
Mn 1.3884 0.8016 2.2734
N 1.3884 0.8016 5.4485
N 0.0000 1.6032 1.2444
```

Output
Formation energy without anion corrections ... -0.45 eV/atom
SG ... P-3m1 (164)
E ... -15.124 eV per atom

=====

(7)
NaMnN2 | meta-GGA SCAN | single point on PBEsol structure

The structure in extended XYZ format:
```
8
Lattice="-2.1994 -4.1375 1.7840 4.9977 1.1206 1.7147 0.5217 1.7380 4.6740" Properties=species:S:1:pos:R:3 pbc="T T T"
Na 2.0794 -0.0396 2.4718
Na -0.8389 -1.1998 3.2290
Mn 1.2406 -1.2393 5.7008
Mn 0.0000 0.0000 0.0000
N -0.2825 -2.0325 5.5064
N 2.2891 -1.6209 4.3810
N 0.9451 0.4624 5.7604
N 2.0107 -1.7664 7.1554
```

Output
Formation energy without anion corrections ... -0.34 eV/atom
SG ... I-42d (122)
E ... -10.608 eV per atom

=====

(8)
MnNb3N | meta-GGA SCAN | single point on PBEsol structure

The structure in extended XYZ format:
```
5
Lattice="-1.1246 -3.8258 -2.0434 2.4446 1.1846 -3.5634 3.5828 -2.0092 1.7899" Properties=species:S:1:pos:R:3 pbc="T T T"
Nb 1.7914 -1.0046 0.8950
Nb 1.2223 0.5923 -1.7817
Nb -0.5623 -1.9129 -1.0217
Mn 0.0000 0.0000 0.0000
N 2.4514 -2.3252 -1.9084
```

Output
Formation energy without anion corrections ... 1.69 eV/atom
SG ... Pm-3m (221)
E ... -23.701 eV per atom

=====

(9)
MnNbN2O | meta-GGA SCAN | single point on PBEsol structure

The structure in extended XYZ format:
```
5
Lattice="3.5300 0.0000 0.0000 0.0000 3.6731 0.0000 0.0000 0.0000 3.6731" Properties=species:S:1:pos:R:3 pbc="T T T"
Mn 0.0000 0.0000 0.0000
N 0.0000 1.8365 0.0000
N 0.0000 0.0000 1.8365
O 1.7650 0.0000 0.0000
Nb 1.7650 1.8365 1.8365
```

Output
Formation energy without anion corrections ... -0.41 eV/atom
SG ... P4/mmm (123)
E ... -15.647 eV per atom

=====

(10)
MnNbNO2 | meta-GGA SCAN | single point on PBEsol structure

The structure in extended XYZ format:
```
5
Lattice="-3.1423 -1.6377 -0.5510 1.5782 -2.2546 -2.2991 0.7366 -2.3631 2.8231" Properties=species:S:1:pos:R:3 pbc="T T T"
N 0.3683 -1.1816 1.4115
Nb -0.4137 -3.1277 -0.0135
O -1.5711 -0.8188 -0.2755
O 0.7891 -1.1273 -1.1495
Mn 0.0000 0.0000 0.0000
```

Output
Formation energy without anion corrections ... -0.98 eV/atom
SG ... P4/mmm (123)
E ... -15.603 eV per atom

=====

(11)
MnNbRe2N | meta-GGA SCAN | single point on PBEsol structure

The structure in extended XYZ format:
```
5
Lattice="4.7109 0.0000 0.0000 0.0000 4.7109 0.0000 0.0000 0.0000 4.7128" Properties=species:S:1:pos:R:3 pbc="T T T"
Mn 0.0000 0.0000 2.3564
N 2.3554 2.3554 2.3564
Re 0.0000 2.3554 0.0000
Re 2.3554 0.0000 0.0000
Nb 0.0000 0.0000 0.0000
```

Output
Formation energy without anion corrections ... 3.08 eV/atom
SG ... P4/mmm (123)
E ... -37.493 eV per atom

=====

(12)
MnNbRh2N | meta-GGA SCAN | single point on PBEsol structure

The structure in extended XYZ format:
```
5
Lattice="3.6920 0.0000 0.0000 0.0000 4.0931 0.0000 0.0000 0.0000 4.0931" Properties=species:S:1:pos:R:3 pbc="T T T"
Nb 1.8460 2.0466 2.0466
Rh 0.0000 0.0000 2.0466
Rh 0.0000 2.0466 0.0000
N 0.0000 0.0000 0.0000
Mn 1.8460 0.0000 0.0000
```

Output
Formation energy without anion corrections ... -0.08 eV/atom
SG ... P4/mmm (123)
E ... -25.728 eV per atom

=====

(13)
MnNbS2N | meta-GGA SCAN | single point on PBEsol structure

The structure in extended XYZ format:
```
5
Lattice="-1.2217 1.2049 3.4517 4.2030 -1.4525 1.9946 1.9241 4.3958 -0.8534" Properties=species:S:1:pos:R:3 pbc="T T T"
N -0.6109 0.6024 1.7259
Mn 2.4527 2.0741 2.2965
S 0.9621 2.1979 -0.4267
S 2.1015 -0.7263 0.9973
Nb 0.0000 0.0000 0.0000
```

Output
Formation energy without anion corrections ... -0.26 eV/atom
SG ... P4/mmm (123)
E ... -16.249 eV per atom

=====

(14)
MnNb2SbN | meta-GGA SCAN | single point on PBEsol structure

The structure in extended XYZ format:
```
5
Lattice="3.7976 0.0000 0.0000 0.0000 4.3728 0.0000 0.0000 0.0000 4.3728" Properties=species:S:1:pos:R:3 pbc="T T T"
Nb 0.0000 2.1864 0.0000
Nb 0.0000 0.0000 2.1864
Mn 1.8988 0.0000 0.0000
Sb 1.8988 2.1864 2.1864
N 0.0000 0.0000 0.0000
```

Output
Formation energy without anion corrections ... -0.52 eV/atom
SG ... P4/mmm (123)
E ... -26.736 eV per atom

=====

(15)
YMnNiN2 | meta-GGA SCAN | single point on PBEsol structure

The structure in extended XYZ format:
```
5
Lattice="-2.3183 -2.9415 -0.7258 1.9311 -2.1388 2.5000 -2.8527 1.4074 3.4077" Properties=species:S:1:pos:R:3 pbc="T T T"
Mn -1.6199 -1.8365 2.5909
N 0.9656 -1.0694 1.2500
N -1.1591 -1.4708 -0.3629
Y -1.4263 0.7037 1.7038
Ni 0.0000 0.0000 0.0000
```

Output
Formation energy without anion corrections ... 1.04 eV/atom
SG ... P4/mmm (123)
E ... -15.132 eV per atom

=====

(16)
MnSN2O | meta-GGA SCAN | single point on PBEsol structure

The structure in extended XYZ format:
```
5
Lattice="3.7842 0.0000 0.0000 0.0000 3.7842 0.0000 0.0000 0.0000 3.4114" Properties=species:S:1:pos:R:3 pbc="T T T"
N 1.8921 0.0000 0.0000
N 0.0000 1.8921 0.0000
O 0.0000 0.0000 1.7057
S 1.8921 1.8921 1.7057
Mn 0.0000 0.0000 0.0000
```

Output
Formation energy without anion corrections ... 0.89 eV/atom
SG ... P4/mmm (123)
E ... -9.649 eV per atom

=====

(17)
MnSbN2O | meta-GGA SCAN | single point on PBEsol structure

The structure in extended XYZ format:
```
5
Lattice="3.9019 0.0000 0.0000 0.0000 3.9939 0.0000 0.0000 0.0000 3.9939" Properties=species:S:1:pos:R:3 pbc="T T T"
N 0.0000 1.9970 0.0000
N 0.0000 0.0000 1.9970
O 1.9509 0.0000 0.0000
Sb 0.0000 0.0000 0.0000
Mn 1.9509 1.9970 1.9970
```

Output
Formation energy without anion corrections ... 0.33 eV/atom
SG ... P4/mmm (123)
E ... -15.734 eV per atom

=====

(18)
MnSeN2O | meta-GGA SCAN | single point on PBEsol structure

The structure in extended XYZ format:
```
5
Lattice="-2.2311 -1.8740 -1.7681 2.3460 -0.5108 -2.4190 1.5916 -4.1852 2.4274" Properties=species:S:1:pos:R:3 pbc="T T T"
N 1.1730 -0.2554 -1.2095
N -1.1156 -0.9370 -0.8841
Se 0.7958 -2.0926 1.2137
Mn 0.0000 0.0000 0.0000
O 0.8532 -3.2850 -0.8798
```

Output
Formation energy without anion corrections ... 0.73 eV/atom
SG ... P4/mmm (123)
E ... -11.896 eV per atom

=====

(19)
MnSiN2O | meta-GGA SCAN | single point on PBEsol structure

The structure in extended XYZ format:
```
5
Lattice="3.4268 0.0000 0.0000 0.0000 3.6121 0.0000 0.0000 0.0000 3.6121" Properties=species:S:1:pos:R:3 pbc="T T T"
N 0.0000 0.0000 1.8060
N 0.0000 1.8060 0.0000
Mn 1.7134 1.8060 1.8060
O 1.7134 0.0000 0.0000
Si 0.0000 0.0000 0.0000
```

Output
Formation energy without anion corrections ... -0.58 eV/atom
SG ... P4/mmm (123)
E ... -11.193 eV per atom

=====

(20)
MnTlNO2 | meta-GGA SCAN | single point on PBEsol structure

The structure in extended XYZ format:
```
5
Lattice="-0.9880 -3.2820 -1.2764 3.1656 -0.1026 -2.1866 1.9264 -1.6954 2.8684" Properties=species:S:1:pos:R:3 pbc="T T T"
N -0.4940 -1.6410 -0.6382
Tl 2.0520 -2.5400 -0.2973
O 0.9632 -0.8477 1.4342
O 1.5828 -0.0513 -1.0933
Mn 0.0000 0.0000 0.0000
```

Output
Formation energy without anion corrections ... -0.55 eV/atom
SG ... P4/mmm (123)
E ... -23.024 eV per atom

=====

(21)
MnOsSe2N | meta-GGA SCAN | single point on PBEsol structure

The structure in extended XYZ format:
```
5
Lattice="-0.9869 -3.4955 -0.2689 3.9436 -1.3321 2.8423 -2.8262 0.4790 4.1458" Properties=species:S:1:pos:R:3 pbc="T T T"
N -0.4934 -1.7478 -0.1345
Os 0.0000 0.0000 0.0000
Se 1.9718 -0.6660 1.4211
Se -1.4131 0.2395 2.0729
Mn 0.0652 -2.1743 3.3596
```

Output
Formation energy without anion corrections ... 0.27 eV/atom
SG ... P4/mmm (123)
E ... -27.647 eV per atom

=====

(22)
MnPSN2 | meta-GGA SCAN | single point on PBEsol structure

The structure in extended XYZ format:
```
5
Lattice="3.5287 0.0000 0.0000 0.0000 3.5287 0.0000 0.0000 0.0000 4.8284" Properties=species:S:1:pos:R:3 pbc="T T T"
P 1.7644 1.7644 2.4142
N 0.0000 1.7644 0.0000
N 1.7644 0.0000 0.0000
Mn 0.0000 0.0000 0.0000
S 0.0000 0.0000 2.4142
```

Output
Formation energy without anion corrections ... 0.88 eV/atom
SG ... P4/mmm (123)
E ... -10.494 eV per atom

=====

(23)
MnPdSN2 | meta-GGA SCAN | single point on PBEsol structure

The structure in extended XYZ format:
```
5
Lattice="-0.9768 0.2745 3.6319 -3.6347 -0.3147 -0.9538 0.3142 -5.0381 0.4653" Properties=species:S:1:pos:R:3 pbc="T T T"
Mn -2.1487 -2.5391 1.5717
N -0.4884 0.1373 1.8159
N -1.8174 -0.1574 -0.4769
Pd 0.0000 0.0000 0.0000
S 0.1571 -2.5190 0.2326
```

Output
Formation energy without anion corrections ... 0.99 eV/atom
SG ... P4/mmm (123)
E ... -14.857 eV per atom

=====

(24)
Ta2MnPdN | meta-GGA SCAN | single point on PBEsol structure

The structure in extended XYZ format:
```
5
Lattice="4.1181 0.0000 0.0000 0.0000 4.1389 0.0000 0.0000 0.0000 4.1389" Properties=species:S:1:pos:R:3 pbc="T T T"
Ta 0.0000 2.0695 0.0000
Ta 0.0000 0.0000 2.0695
Pd 2.0590 0.0000 0.0000
Mn 2.0590 2.0695 2.0695
N 0.0000 0.0000 0.0000
```

Output
Formation energy without anion corrections ... -0.34 eV/atom
SG ... P4/mmm (123)
E ... -39.036 eV per atom

=====

(25)
YMnPd2N | meta-GGA SCAN | single point on PBEsol structure

The structure in extended XYZ format:
```
5
Lattice="3.5316 0.0000 0.0000 0.0000 4.8226 0.0000 0.0000 0.0000 4.8226" Properties=species:S:1:pos:R:3 pbc="T T T"
Pd 0.0000 0.0000 2.4113
Pd 0.0000 2.4113 0.0000
Y 1.7658 2.4113 2.4113
Mn 0.0000 0.0000 0.0000
N 1.7658 0.0000 0.0000
```

Output
Formation energy without anion corrections ... -0.23 eV/atom
SG ... P4/mmm (123)
E ... -24.417 eV per atom

=====

(26)
MnTePtN2 | meta-GGA SCAN | single point on PBEsol structure

The structure in extended XYZ format:
```
5
Lattice="-1.1667 2.5726 -2.2758 -1.8432 -2.4970 -1.8778 -4.4547 0.8491 3.2435" Properties=species:S:1:pos:R:3 pbc="T T T"
N -0.5833 1.2863 -1.1379
N -0.9216 -1.2485 -0.9389
Pt -3.7323 0.4623 -0.4550
Mn 0.0000 0.0000 0.0000
Te -2.2274 0.4245 1.6217
```

Output
Formation energy without anion corrections ... 0.58 eV/atom
SG ... P4/mmm (123)
E ... -28.276 eV per atom

=====

(27)
RbMn2N2 | meta-GGA SCAN | single point on PBEsol structure

The structure in extended XYZ format:
```
5
Lattice="3.8251 0.0000 0.0000 0.0000 3.8251 0.0000 -1.9125 -1.9125 5.9533" Properties=species:S:1:pos:R:3 pbc="T T T"
Rb 0.0000 0.0000 0.0000
N 0.0000 1.9125 2.9766
N 1.9125 0.0000 2.9766
Mn 1.9125 1.9125 2.6898
Mn 0.0000 0.0000 3.2635
```

Output
Formation energy without anion corrections ... -0.47 eV/atom
SG ... I4/mmm (139)
E ... -15.636 eV per atom

=====

(28)
RbMnN2 | meta-GGA SCAN | single point on PBEsol structure

The structure in extended XYZ format:
```
8
Lattice="5.6148 0.0000 0.0000 2.8074 4.8625 0.0000 2.8074 1.6208 4.5844" Properties=species:S:1:pos:R:3 pbc="T T T"
N 2.8074 3.2417 0.5731
N 1.4037 0.8104 0.5731
N 2.8074 1.6208 2.8653
N 4.2111 0.8104 0.5731
Mn 2.8074 1.6208 1.1461
Mn 0.0000 0.0000 0.0000
Rb 5.6148 3.2417 2.2922
Rb 8.4221 4.8625 3.4383
```

Output
Formation energy without anion corrections ... -0.44 eV/atom
SG ... Fd-3m (227)
E ... -14.832 eV per atom

=====

(29)
Rb2MnTeN | meta-GGA SCAN | single point on PBEsol structure

The structure in extended XYZ format:
```
5
Lattice="4.9790 0.0000 0.0000 0.0000 6.8961 0.0000 0.0000 0.0000 6.8961" Properties=species:S:1:pos:R:3 pbc="T T T"
Rb 0.0000 0.0000 3.4481
Rb 0.0000 3.4481 0.0000
Te 0.0000 0.0000 0.0000
Mn 2.4895 0.0000 0.0000
N 2.4895 3.4481 3.4481
```

Output
Formation energy without anion corrections ... 0.59 eV/atom
SG ... P4/mmm (123)
E ... -20.662 eV per atom

=====

Volume? In order: 15.3; 14.6; 15.8; 14.0; 9.3; 8.9; 12.8; 18.0; 9.5; 9.7; 20.9; 12.4; 18.3; 14.5; 13.6; 9.8; 12.4; 11.8; 8.9; 10.8; 18.5; 12.0; 14.4; 14.1; 16.4; 14.7; 17.4; 15.6; 47.4 Å³ per atom.